Crystalline CaNd2Hg at its relaxed geometry. Source: the Alexandria database, functional PBE.

The structure in POSCAR format:
```
CaNd2Hg
1.0
3.877 0.000 0.000
0.000 3.877 0.000
0.000 0.000 8.880
Hg Ca Nd
1 1 2
Direct
0.500 0.500 0.000
0.500 0.500 0.500
0.000 0.000 0.205
0.000 0.000 0.795
```

Values from the calculation:
- SG: P4/mmm, No. 123
- Size of the total moment: 0.000 μB per cell
- DOS(E_F): 5.01 states/eV per cell
- Energy of formation: -172 meV per atom
- Relative energy among the computed polymorphs: 0.034 eV per atom
- E: -3.132 eV per atom

Crystalline Al2AgPtCl at its relaxed geometry. Source: the Alexandria database, functional PBE.

The structure in POSCAR format:
```
Al2AgPtCl
1.0
5.016 0.000 0.000
0.000 4.684 0.000
0.000 0.000 5.016
Al Ag Cl Pt
2 1 1 1
Direct
0.500 0.000 0.000
0.000 0.000 0.500
0.000 0.000 0.000
0.000 0.500 0.000
0.500 0.500 0.500
```

Values from the calculation:
- SG: P4/mmm, No. 123
- Size of the total moment: 0.000 μB per cell
- DOS(E_F): 3.04 states/eV per cell
- Formation energy without anion corrections: 0.757 eV/atom
- E: -2.887 eV per atom

Crystalline CaTbSm2Sb4 at its relaxed geometry. Source: the Alexandria database, functional PBE.

The structure in POSCAR format:
```
CaTbSm2Sb4
1.0
4.446 0.000 0.000
0.000 7.736 -0.161
0.000 2.714 7.283
Sb Tb Ca Sm
4 1 1 2
Direct
0.000 0.751 0.746
0.500 0.252 0.746
0.000 0.249 0.254
0.500 0.748 0.254
0.000 0.500 0.500
0.500 0.500 0.000
0.500 0.000 0.500
0.000 0.000 0.000
```

Values from the calculation:
- SG: P2/m, No. 10
- Size of the total moment: 0.000 μB per cell
- DOS(E_F): 3.93 states/eV per cell
- Formation energy without anion corrections: -1.055 eV/atom
- E: -5.125 eV per atom

Crystalline Pm2BeSi at its relaxed geometry. Source: the Alexandria database, functional PBE.

The structure in POSCAR format:
```
Pm2BeSi
1.0
3.674 0.000 0.000
0.000 4.943 0.000
0.000 0.000 4.943
Pm Be Si
2 1 1
Direct
0.000 0.000 0.500
0.000 0.500 0.000
0.500 0.000 0.000
0.500 0.500 0.500
```

Values from the calculation:
- SG: P4/mmm, No. 123
- Size of the total moment: 0.000 μB per cell
- DOS(E_F): 1.56 states/eV per cell
- Relative energy among the computed polymorphs: 0.003 eV per atom
- Formation energy without anion corrections: -0.182 eV/atom
- E: -4.844 eV per atom

Crystalline Tc2RuCl at its relaxed geometry. Source: the Alexandria database, functional PBE.

The structure in POSCAR format:
```
Tc2RuCl
1.0
-2.542 -2.655 -1.473
0.571 -1.758 2.184
-3.544 1.297 3.779
Ru Tc Cl
1 2 1
Direct
0.500 0.660 0.755
0.500 0.418 0.254
0.000 0.054 0.972
0.000 0.368 0.519
```

Values from the calculation:
- SG: Pm, No. 6
- Size of the total moment: 0.000 μB per cell
- DOS(E_F): 3.71 states/eV per cell
- Relative energy among the computed polymorphs: 0.231 eV per atom
- Formation energy without anion corrections: 0.513 eV/atom
- E: -7.451 eV per atom

Crystalline RbHgBi at its relaxed geometry. Source: the Alexandria database, functional PBE.

The structure in POSCAR format:
```
RbHgBi
1.0
3.604 0.000 0.000
0.000 3.604 0.000
-1.802 -1.802 8.029
Hg Bi Rb
1 1 1
Direct
0.620 0.620 0.240
0.271 0.271 0.543
0.959 0.959 0.917
```

Values from the calculation:
- SG: I4mm, No. 107
- Size of the total moment: 0.000 μB per cell
- DOS(E_F): 1.47 states/eV per cell
- Energy of formation: -137 meV per atom
- E: -1.853 eV per atom

Crystalline Na2HgAu at its relaxed geometry. Source: the Alexandria database, functional PBE.

The structure in POSCAR format:
```
Na2HgAu
1.0
-2.110 -0.530 -4.057
5.154 -1.942 -2.426
-4.229 -6.152 3.003
Na Hg Au
4 2 2
Direct
0.750 0.178 0.933
0.250 0.822 0.067
0.250 0.761 0.580
0.750 0.239 0.420
0.250 0.322 0.724
0.750 0.678 0.276
0.250 0.365 0.200
0.750 0.635 0.800
```

Values from the calculation:
- SG: P2_1/m, No. 11
- Size of the total moment: 0.000 μB per cell
- DOS(E_F): 2.21 states/eV per cell
- Energy of formation: -284 meV per atom
- E: -1.838 eV per atom

Crystalline HgRu at its relaxed geometry. Source: the Alexandria database, functional PBE.

The structure in POSCAR format:
```
HgRu
1.0
2.947 0.000 0.000
0.000 4.721 0.000
0.000 0.000 4.966
Ru Hg
2 2
Direct
0.500 0.000 0.493
0.000 0.500 0.341
0.000 0.000 0.011
0.500 0.500 0.822
```

Values from the calculation:
- SG: Pmmn, No. 59
- Size of the total moment: 0.000 μB per cell
- DOS(E_F): 4.39 states/eV per cell
- Energy of formation: 640 meV per atom
- E: -4.149 eV per atom

Crystalline Ba2GePb at its relaxed geometry. Source: the Alexandria database, functional PBE.

The structure in POSCAR format:
```
Ba2GePb
1.0
-2.009 2.964 5.769
-7.023 0.262 -0.162
-1.199 -5.148 4.654
Ba Pb Ge
4 2 2
Direct
0.717 0.942 0.198
0.739 0.439 0.692
0.283 0.058 0.802
0.261 0.561 0.308
0.850 0.398 0.172
0.150 0.602 0.828
0.864 0.923 0.644
0.136 0.077 0.356
```

Values from the calculation:
- SG: P-1, No. 2
- Size of the total moment: 0.000 μB per cell
- DOS(E_F): 3.05 states/eV per cell
- Energy of formation: -561 meV per atom
- Relative energy among the computed polymorphs: 0.005 eV per atom
- E: -3.604 eV per atom

Crystalline CrGaCo at its relaxed geometry. Source: the Alexandria database, functional PBE.

The structure in POSCAR format:
```
CrGaCo
1.0
-1.426 -2.204 -0.334
2.228 -1.417 -0.159
-0.491 1.098 5.333
Cr Co Ga
1 1 1
Direct
0.322 0.322 0.645
0.673 0.673 0.346
0.005 0.005 0.010
```

Values from the calculation:
- SG: I4mm, No. 107
- Size of the total moment: 0.227 μB per cell
- DOS(E_F): 2.10 states/eV per cell
- Energy of formation: -63 meV per atom
- E: -6.648 eV per atom

Crystalline AcY8Tm2 at its relaxed geometry. Source: the Alexandria database, functional PBE.

The structure in POSCAR format:
```
AcY8Tm2
1.0
5.018 1.874 -0.333
2.531 9.664 -2.749
-0.164 0.394 8.515
Ac Tm Y
1 2 8
Direct
0.000 0.000 0.000
0.452 0.316 0.684
0.548 0.684 0.316
0.020 0.728 0.600
0.741 0.984 0.358
0.652 0.600 0.728
0.259 0.016 0.642
0.980 0.272 0.400
0.917 0.358 0.984
0.348 0.400 0.272
0.083 0.642 0.016
```

Values from the calculation:
- SG: C2/m, No. 12
- Size of the total moment: 0.000 μB per cell
- DOS(E_F): 20.64 states/eV per cell
- Energy of formation: 177 meV per atom
- Relative energy among the computed polymorphs: 0.057 eV per atom
- E: -5.710 eV per atom

Crystalline CdAg4Cl8 at its relaxed geometry. Source: the Alexandria database, functional PBE.

The structure in POSCAR format:
```
CdAg4Cl8
1.0
-7.200 -0.101 -2.083
5.532 1.174 -5.830
3.091 -6.672 3.051
Cd Cl Ag
1 8 4
Direct
0.000 0.500 0.500
0.017 0.764 0.758
0.988 0.713 0.264
0.495 0.757 0.753
0.533 0.283 0.779
0.012 0.287 0.736
0.983 0.236 0.242
0.505 0.243 0.247
0.467 0.717 0.221
0.500 0.000 0.000
0.000 0.500 0.000
0.000 0.000 0.000
0.500 0.500 0.000
```

Values from the calculation:
- SG: P-1, No. 2
- Size of the total moment: 1.876 μB per cell
- DOS(E_F): 10.01 states/eV per cell
- Formation energy without anion corrections: -0.508 eV/atom
- E: -2.592 eV per atom

Crystalline FeAgHg4 at its relaxed geometry. Source: the Alexandria database, functional PBE.

The structure in POSCAR format:
```
FeAgHg4
1.0
-3.173 -4.762 -0.782
-5.587 -0.020 1.464
-4.061 -0.122 -4.105
Ag Hg Fe
1 4 1
Direct
0.750 0.750 0.750
0.375 0.375 0.375
0.875 0.375 0.375
0.375 0.875 0.375
0.375 0.375 0.875
0.000 0.000 0.000
```

Values from the calculation:
- SG: F-43m, No. 216
- Size of the total moment: 3.113 μB per cell
- DOS(E_F): 4.89 states/eV per cell
- Energy of formation: 644 meV per atom
- E: -1.443 eV per atom

Crystalline YBeCo2 at its relaxed geometry. Source: the Alexandria database, functional PBE.

The structure in POSCAR format:
```
YBeCo2
1.0
3.869 0.000 -0.002
1.935 3.350 -0.002
1.938 1.119 4.776
Be Co Y
1 2 1
Direct
0.309 0.309 0.073
0.997 0.997 0.008
0.693 0.693 0.920
0.501 0.501 0.498
```

Values from the calculation:
- SG: R3m, No. 160
- Size of the total moment: 1.976 μB per cell
- DOS(E_F): 3.76 states/eV per cell
- Energy of formation: -177 meV per atom
- E: -6.277 eV per atom

Crystalline YTl2Ir2 at its relaxed geometry. Source: the Alexandria database, functional PBE.

The structure in POSCAR format:
```
YTl2Ir2
1.0
-5.183 2.621 -4.456
-3.243 -6.562 -0.088
-2.186 1.038 3.154
Tl Y Ir
4 2 4
Direct
0.669 0.831 0.500
0.169 0.669 0.500
0.331 0.169 0.500
0.831 0.331 0.500
0.000 0.000 0.000
0.500 0.500 0.000
0.372 0.872 0.000
0.628 0.128 0.000
0.128 0.372 0.000
0.872 0.628 0.000
```

Values from the calculation:
- SG: P4/mbm, No. 127
- Size of the total moment: 0.000 μB per cell
- DOS(E_F): 4.81 states/eV per cell
- Energy of formation: -1 meV per atom
- Relative energy among the computed polymorphs: 0.000 eV per atom
- E: -5.784 eV per atom

Crystalline BeV3Tc at its relaxed geometry. Source: the Alexandria database, functional PBE.

The structure in POSCAR format:
```
BeV3Tc
1.0
4.487 0.000 0.000
0.000 4.487 0.000
0.000 0.000 4.487
V Be Tc
3 1 1
Direct
0.000 0.000 0.500
0.000 0.500 0.000
0.500 0.000 0.000
0.500 0.500 0.500
0.000 0.000 0.000
```

Values from the calculation:
- SG: Pm-3m, No. 221
- Size of the total moment: 0.000 μB per cell
- DOS(E_F): 5.04 states/eV per cell
- Energy of formation: 1347 meV per atom
- Relative energy among the computed polymorphs: 0.676 eV per atom
- E: -6.943 eV per atom

Crystalline PuSn3 at its relaxed geometry. Source: the Alexandria database, functional PBE.

The structure in POSCAR format:
```
PuSn3
1.0
-0.731 2.758 1.830
-5.512 -0.549 -1.375
2.341 -4.210 4.141
Sn Pu
3 1
Direct
0.500 0.504 0.000
0.252 0.579 0.504
0.748 0.074 0.496
0.000 0.010 0.000
```

Values from the calculation:
- SG: Imm2, No. 44
- Size of the total moment: 5.783 μB per cell
- DOS(E_F): 8.63 states/eV per cell
- Energy of formation: -213 meV per atom
- E: -6.798 eV per atom

Crystalline Si2Te6PbAu at its relaxed geometry. Source: the Alexandria database, functional PBE.

The structure in POSCAR format:
```
Si2Te6PbAu
1.0
7.234 -0.046 -0.048
2.242 9.674 0.215
2.242 -0.143 9.675
Au Te Pb Si
2 12 2 4
Direct
0.750 0.703 0.297
0.250 0.297 0.703
0.493 0.550 0.713
0.932 0.411 0.877
0.302 0.186 0.042
0.507 0.450 0.287
0.568 0.123 0.589
0.802 0.042 0.186
0.007 0.287 0.450
0.698 0.814 0.958
0.068 0.589 0.123
0.198 0.958 0.814
0.432 0.877 0.411
0.993 0.713 0.550
0.750 0.125 0.875
0.250 0.875 0.125
0.276 0.768 0.638
0.724 0.232 0.362
0.776 0.638 0.768
0.224 0.362 0.232
```

Values from the calculation:
- SG: C2/c, No. 15
- Size of the total moment: 0.000 μB per cell
- DOS(E_F): 10.24 states/eV per cell
- Formation energy without anion corrections: -0.037 eV/atom
- E: -3.706 eV per atom

Crystalline BaNpPb2O6 at its relaxed geometry. Source: the Alexandria database, functional PBE.

The structure in POSCAR format:
```
BaNpPb2O6
1.0
6.800 0.436 0.248
3.786 5.786 0.255
3.755 2.211 5.247
O Np Pb Ba
6 1 2 1
Direct
0.158 0.012 0.380
0.125 0.417 0.861
0.474 0.620 0.723
0.645 0.012 0.893
0.507 0.215 0.242
0.988 0.620 0.210
0.316 0.316 0.052
0.053 0.000 0.789
0.579 0.633 0.314
0.816 0.816 0.552
```

Values from the calculation:
- SG: C2/m, No. 12
- Size of the total moment: 1.000 μB per cell
- Formation energy without anion corrections: -2.180 eV/atom
- E: -7.383 eV per atom

Crystalline NaLiAcF6 at its relaxed geometry. Source: the Alexandria database, functional PBE.

The structure in POSCAR format:
```
NaLiAcF6
1.0
-0.235 -5.084 -1.557
1.390 -1.616 5.065
-5.294 0.649 -1.321
F Li Na Ac
6 1 1 1
Direct
0.271 0.306 0.304
0.729 0.306 0.001
0.271 0.696 0.001
0.729 0.999 0.304
0.271 0.999 0.694
0.729 0.696 0.694
0.500 0.000 0.000
0.500 0.667 0.333
0.000 0.333 0.667
```

Values from the calculation:
- SG: P312, No. 149
- Size of the total moment: 1.122 μB per cell
- DOS(E_F): 10.56 states/eV per cell
- Formation energy without anion corrections: -3.027 eV/atom
- E: -5.090 eV per atom

Crystalline K3Cd3ReO8 at its relaxed geometry. Source: the Alexandria database, functional PBE.

The structure in POSCAR format:
```
K3Cd3ReO8
1.0
6.872 0.000 0.000
-3.436 5.951 -0.020
-0.001 -3.948 6.147
O K Cd Re
8 3 3 1
Direct
0.722 0.444 0.666
0.808 0.616 0.320
0.795 0.988 0.680
0.192 0.384 0.680
0.205 0.012 0.320
0.808 0.012 0.320
0.278 0.556 0.334
0.192 0.988 0.680
0.000 0.000 0.000
0.000 0.500 0.000
0.500 0.500 0.000
0.500 0.000 0.500
0.000 0.500 0.500
0.500 0.500 0.500
0.000 0.000 0.500
```

Values from the calculation:
- SG: R-3m, No. 166
- Size of the total moment: 0.000 μB per cell
- DOS(E_F): 0.00 states/eV per cell
- Formation energy without anion corrections: -1.400 eV/atom
- E: -5.276 eV per atom

Crystalline Mg2TiO4 at its relaxed geometry. Source: the Alexandria database, functional PBE.

The structure in POSCAR format:
```
Mg2TiO4
1.0
-0.473 5.579 -2.236
-4.538 -1.771 -3.552
-0.262 -0.893 5.957
O Ti Mg
8 2 4
Direct
0.252 0.727 0.975
0.748 0.273 0.025
0.712 0.727 0.985
0.748 0.723 0.475
0.241 0.727 0.515
0.288 0.273 0.015
0.252 0.277 0.525
0.759 0.273 0.485
0.500 0.500 0.000
0.000 0.500 0.500
0.500 0.500 0.500
0.500 0.000 0.000
0.886 0.136 0.750
0.114 0.864 0.250
```

Values from the calculation:
- SG: Imma, No. 74
- Size of the total moment: 0.000 μB per cell
- DOS(E_F): 0.00 states/eV per cell
- Relative energy among the computed polymorphs: 0.020 eV per atom
- Formation energy without anion corrections: -2.864 eV/atom
- E: -7.281 eV per atom

Crystalline Cr4InBr at its relaxed geometry. Source: the Alexandria database, functional PBE.

The structure in POSCAR format:
```
Cr4InBr
1.0
-1.197 -4.615 -1.580
-2.394 -3.166 3.078
-4.802 -1.192 -0.863
Cr In Br
4 1 1
Direct
0.371 0.371 0.371
0.887 0.371 0.371
0.371 0.371 0.887
0.371 0.887 0.371
0.750 0.750 0.750
0.000 0.000 0.000
```

Values from the calculation:
- SG: F-43m, No. 216
- Size of the total moment: 0.000 μB per cell
- DOS(E_F): 4.64 states/eV per cell
- Formation energy without anion corrections: 0.819 eV/atom
- E: -6.332 eV per atom

Crystalline Ta2MnAl at its relaxed geometry. Source: the Alexandria database, functional PBE.

The structure in POSCAR format:
```
Ta2MnAl
1.0
-0.201 3.259 2.304
-0.805 -1.622 2.225
4.749 -1.801 2.961
Mn Al Ta
1 1 2
Direct
0.500 0.750 0.750
0.500 0.250 0.250
0.000 0.971 0.988
0.000 0.529 0.512
```

Values from the calculation:
- SG: P2/m, No. 10
- Size of the total moment: 1.329 μB per cell
- DOS(E_F): 3.10 states/eV per cell
- Energy of formation: -63 meV per atom
- E: -9.217 eV per atom

Crystalline LaTb at its relaxed geometry. Source: the Alexandria database, functional PBE.

The structure in POSCAR format:
```
LaTb
1.0
-4.821 3.120 -0.751
-4.917 -1.592 2.615
-2.092 3.211 4.436
La Tb
2 2
Direct
0.885 0.885 0.344
0.115 0.115 0.656
0.634 0.634 0.097
0.366 0.366 0.903
```

Values from the calculation:
- SG: R-3m, No. 166
- Size of the total moment: 0.703 μB per cell
- DOS(E_F): 10.19 states/eV per cell
- Energy of formation: 152 meV per atom
- Relative energy among the computed polymorphs: 0.139 eV per atom
- E: -4.627 eV per atom